No. 1
La2TmP | PBE-GGA | optimized geometry

POSCAR file:
```
La2TmP
1.0
3.875 0.000 0.000
-1.937 3.356 0.000
0.000 0.000 31.351
La Tm P
6 3 3
direct
0.000 0.000 0.111
0.000 0.000 0.889
0.333 0.667 0.556
0.333 0.667 0.777
0.667 0.333 0.223
0.667 0.333 0.444
0.000 0.000 0.000
0.333 0.667 0.667
0.667 0.333 0.333
0.000 0.000 0.500
0.333 0.667 0.167
0.667 0.333 0.833
```

## Properties
Raw total energy, eV for the cell shown: -64.86
Energy of formation from the pure elements, eV per atom: -0.471

No. 2
La3TmP4 | PBE-GGA | optimized geometry

POSCAR file:
```
La3TmP4
1.0
7.266 0.000 0.000
0.000 8.405 0.000
-2.429 0.000 6.853
La Tm P
6 2 8
direct
0.000 0.123 0.250
0.000 0.372 0.750
0.000 0.628 0.250
0.000 0.877 0.750
0.500 0.372 0.250
0.500 0.628 0.750
0.500 0.123 0.750
0.500 0.877 0.250
0.255 0.368 0.507
0.255 0.632 0.007
0.263 0.118 0.999
0.263 0.882 0.499
0.737 0.118 0.501
0.737 0.882 0.001
0.745 0.368 0.993
0.745 0.632 0.493
```

## Properties
Raw total energy, eV for the cell shown: -106.69
Energy of formation from the pure elements, eV per atom: -1.556

No. 3
La3TmP4 | PBE-GGA | optimized geometry

POSCAR file:
```
La3TmP4
1.0
8.394 0.000 0.000
0.000 11.861 0.000
0.000 0.000 4.202
La Tm P
6 2 8
direct
0.000 0.000 0.000
0.250 0.250 0.500
0.250 0.750 0.500
0.500 0.500 0.000
0.750 0.250 0.500
0.750 0.750 0.500
0.000 0.500 0.000
0.500 0.000 0.000
0.000 0.256 0.000
0.000 0.744 0.000
0.239 0.500 0.500
0.261 0.000 0.500
0.500 0.244 0.000
0.500 0.756 0.000
0.739 0.000 0.500
0.761 0.500 0.500
```

## Properties
Raw total energy, eV for the cell shown: -106.66
Energy of formation from the pure elements, eV per atom: -1.555

No. 4
LaTmP2 | PBE-GGA | optimized geometry

POSCAR file:
```
LaTmP2
1.0
4.042 0.000 0.000
-2.021 3.500 0.000
0.000 0.000 21.043
La Tm P
3 3 6
direct
0.000 0.000 0.000
0.333 0.667 0.667
0.667 0.333 0.333
0.000 0.000 0.829
0.333 0.667 0.496
0.667 0.333 0.162
0.000 0.000 0.241
0.000 0.000 0.420
0.333 0.667 0.087
0.333 0.667 0.907
0.667 0.333 0.574
0.667 0.333 0.754
```

## Properties
Energy above the lowest structure with this stoichiometry, meV per atom: 127
Raw total energy, eV for the cell shown: -77.97
Energy of formation from the pure elements, eV per atom: -1.442

No. 5
La5TmP6 | PBE-GGA | optimized geometry

POSCAR file:
```
La5TmP6
1.0
3.659 -6.338 0.000
3.659 6.338 0.000
-2.441 0.000 6.897
La Tm P
5 1 6
direct
0.000 0.000 0.000
0.166 0.834 0.500
0.333 0.667 0.000
0.667 0.333 0.000
0.834 0.166 0.500
0.500 0.500 0.500
0.095 0.419 0.256
0.258 0.258 0.745
0.419 0.095 0.256
0.581 0.905 0.744
0.742 0.742 0.255
0.905 0.581 0.744
```

## Properties
Raw total energy, eV for the cell shown: -80.30
Energy of formation from the pure elements, eV per atom: -1.561

No. 6
LaTmP | PBE-GGA | optimized geometry

POSCAR file:
```
LaTmP
1.0
3.974 0.000 0.000
0.000 5.503 0.000
-0.025 0.000 8.135
La Tm P
2 2 2
direct
0.248 0.250 0.130
0.752 0.750 0.870
0.251 0.250 0.616
0.749 0.750 0.384
0.251 0.750 0.615
0.749 0.250 0.385
```

## Properties
Energy above the lowest structure with this stoichiometry, meV per atom: 0
Raw total energy, eV for the cell shown: -35.44
Energy of formation from the pure elements, eV per atom: -0.971

- Which of these has the lowest energy of formation from the pure elements?
  La5TmP6

What did the third record say?
La3TmP4 | PBE-GGA | optimized geometry

POSCAR file:
```
La3TmP4
1.0
8.394 0.000 0.000
0.000 11.861 0.000
0.000 0.000 4.202
La Tm P
6 2 8
direct
0.000 0.000 0.000
0.250 0.250 0.500
0.250 0.750 0.500
0.500 0.500 0.000
0.750 0.250 0.500
0.750 0.750 0.500
0.000 0.500 0.000
0.500 0.000 0.000
0.000 0.256 0.000
0.000 0.744 0.000
0.239 0.500 0.500
0.261 0.000 0.500
0.500 0.244 0.000
0.500 0.756 0.000
0.739 0.000 0.500
0.761 0.500 0.500
```

## Properties
Raw total energy, eV for the cell shown: -106.66
Energy of formation from the pure elements, eV per atom: -1.555

- What is the energy of formation from the pure elements in the first record?
  -0.471 eV per atom

- Look up the energy of formation from the pure elements of the first one.
  -0.471 eV per atom